5
Lattice="5.5837 0.0000 0.0000 0.0000 5.5837 0.0000 0.0000 0.0000 5.5837" Properties=species:S:1:pos:R:3 comment="SrGe3Pb PBE-GGA optimized geometry" delta_e_f_mev_per_atom=994 crystal_system=cubic volume_a3_per_atom=34.82 pbc="T T T"
Pb 2.7919 2.7919 2.7919
Sr 0.0000 0.0000 0.0000
Ge 0.0000 2.7919 0.0000
Ge 0.0000 0.0000 2.7919
Ge 2.7919 0.0000 0.0000

---

5
Lattice="6.0407 0.0000 0.0000 0.0000 6.0407 0.0000 0.0000 0.0000 6.0407" Properties=species:S:1:pos:R:3 comment="SrGePb3 PBE-GGA optimized geometry" delta_e_f_mev_per_atom=1002 crystal_system=cubic volume_a3_per_atom=44.09 pbc="T T T"
Pb 0.0000 3.0204 0.0000
Pb 0.0000 0.0000 3.0204
Pb 3.0204 0.0000 0.0000
Sr 0.0000 0.0000 0.0000
Ge 3.0204 3.0204 3.0204

---

8
Lattice="8.2123 0.0000 0.0000 0.0000 8.2123 0.0000 4.1062 4.1062 3.3896" Properties=species:S:1:pos:R:3 comment="SrGe2Pb PBE-GGA optimized geometry" delta_e_f_mev_per_atom=-72 crystal_system=tetragonal volume_a3_per_atom=28.57 pbc="T T T"
Pb 0.0000 0.0000 0.0000
Pb 8.2123 4.1062 1.6948
Sr 4.1062 4.1062 0.0000
Sr 4.1062 8.2123 1.6948
Ge 6.4635 2.0531 0.8474
Ge 1.7488 6.1592 0.8474
Ge 6.1592 5.8549 2.5422
Ge 10.2654 10.5697 2.5422

---

10
Lattice="-5.2933 -5.6966 2.5724 5.7366 -5.7661 -0.9650 1.2955 0.6149 4.0274" Properties=species:S:1:pos:R:3 comment="SrGe2Pb2 PBE-GGA optimized geometry" delta_e_f_mev_per_atom=-171 crystal_system=tetragonal volume_a3_per_atom=28.68 pbc="T T T"
Pb 3.5869 -4.4076 1.7881
Pb 1.9748 -8.2959 2.9003
Pb -1.8481 -6.4402 3.8467
Pb -0.2361 -2.5520 2.7345
Sr 0.0000 0.0000 0.0000
Sr 0.2217 -5.7314 0.8037
Ge 3.0402 -7.3295 0.1410
Ge -1.1885 -8.5875 1.6934
Ge -2.5969 -4.1333 1.4664
Ge 1.6318 -2.8753 -0.0859

---

8
Lattice="4.6064 0.0000 0.0000 0.0000 8.0288 -0.1760 0.0000 2.8094 7.4867" Properties=species:S:1:pos:R:3 comment="Sr2GeTe4Pb PBE-GGA optimized geometry" raw_formation_energy_ev_per_atom=-0.928 crystal_system=monoclinic volume_a3_per_atom=34.90 pbc="T T T"
Sr 0.0000 2.8094 7.4867
Sr 2.3032 1.4047 3.7433
Ge 2.3032 4.0144 -0.0880
Te 0.0001 8.0140 5.6231
Te 4.6064 2.8241 1.6876
Te 2.3032 6.6019 1.6842
Te 2.3032 4.2362 5.6265
Pb 0.0001 5.4190 3.6554

---

4
Lattice="-5.2856 -1.5398 -0.0168 -1.5273 -4.6272 2.5622 -2.9599 0.2680 4.6342" Properties=species:S:1:pos:R:3 comment="SrTlGePb PBE-GGA optimized geometry" delta_e_f_mev_per_atom=-169 crystal_system=cubic volume_a3_per_atom=29.50 pbc="T T T"
Pb -4.8864 -2.9495 3.5898
Sr 0.0000 0.0000 0.0000
Tl -7.3296 -4.4243 5.3847
Ge -2.4432 -1.4748 1.7949

---

5
Lattice="4.7834 0.0000 0.0000 0.0000 5.5756 0.0000 0.0000 0.0000 4.7834" Properties=species:S:1:pos:R:3 comment="SrGePbW2 PBE-GGA optimized geometry" delta_e_f_mev_per_atom=1206 crystal_system=tetragonal volume_a3_per_atom=25.52 pbc="T T T"
Pb 2.3917 2.7878 2.3917
Sr 0.0000 2.7878 0.0000
Ge 0.0000 0.0000 0.0000
W 0.0000 0.0000 2.3917
W 2.3917 0.0000 0.0000

---

5
Lattice="-4.5223 3.2967 1.1825 -1.6410 -3.7488 4.1756 3.1127 2.8979 3.8250" Properties=species:S:1:pos:R:3 comment="SrY2GePb PBE-GGA optimized geometry" delta_e_f_mev_per_atom=1220 crystal_system=tetragonal volume_a3_per_atom=38.26 pbc="T T T"
Pb -0.8205 -1.8744 2.0878
Y 1.5563 1.4490 1.9125
Y -2.2611 1.6483 0.5912
Ge -1.5253 1.2229 4.5915
Sr 0.0000 0.0000 0.0000

---

5
Lattice="5.2609 0.0000 0.0000 0.0000 5.8757 0.0000 0.0000 0.0000 5.2609" Properties=species:S:1:pos:R:3 comment="SrZrGe2Pb PBE-GGA optimized geometry" delta_e_f_mev_per_atom=412 crystal_system=tetragonal volume_a3_per_atom=32.52 pbc="T T T"
Pb 2.6304 2.9378 2.6304
Sr 0.0000 2.9378 0.0000
Ge 0.0000 0.0000 2.6304
Ge 2.6304 0.0000 0.0000
Zr 0.0000 0.0000 0.0000

---

5
Lattice="-1.1384 0.2355 5.2845 -0.4510 -5.3901 0.1430 5.2705 -0.4103 1.1537" Properties=species:S:1:pos:R:3 comment="TaGePb3 PBE-GGA optimized geometry" delta_e_f_mev_per_atom=1363 crystal_system=cubic volume_a3_per_atom=31.68 pbc="T T T"
Pb -0.2255 -2.6951 0.0715
Pb 2.6352 -0.2052 0.5768
Pb -0.5692 0.1177 2.6423
Ge 0.0000 0.0000 0.0000
Ta 1.8405 -2.7825 3.2906

---

5
Lattice="5.5136 0.0000 0.0000 0.0000 5.5136 0.0000 0.0000 0.0000 5.5136" Properties=species:S:1:pos:R:3 comment="TaGePb3 PBE-GGA optimized geometry" delta_e_f_mev_per_atom=815 crystal_system=cubic volume_a3_per_atom=33.52 pbc="T T T"
Pb 0.0000 2.7568 0.0000
Pb 0.0000 0.0000 2.7568
Pb 2.7568 0.0000 0.0000
Ge 2.7568 2.7568 2.7568
Ta 0.0000 0.0000 0.0000

---

8
Lattice="-0.3664 2.6515 3.0945 -3.9615 0.4967 -0.8946 -4.5181 -6.0058 7.3160" Properties=species:S:1:pos:R:3 comment="Ta2GePb PBE-GGA optimized geometry" delta_e_f_mev_per_atom=630 crystal_system=tetragonal volume_a3_per_atom=21.10 pbc="T T T"
Pb 0.0000 0.0000 0.0000
Pb -3.5242 -0.8901 5.7552
Ge -2.1639 1.5741 1.0999
Ge -5.3217 -1.9675 3.7606
Ta -1.8484 0.1797 3.6067
Ta -3.6565 -0.8215 1.7012
Ta -5.0685 -3.3167 6.2991
Ta -7.1185 -1.7569 7.4247

---

5
Lattice="4.8693 0.0000 0.0000 0.0000 5.0025 0.0000 0.0000 0.0000 4.8693" Properties=species:S:1:pos:R:3 comment="TaTc2GePb PBE-GGA optimized geometry" delta_e_f_mev_per_atom=1275 crystal_system=tetragonal volume_a3_per_atom=23.72 pbc="T T T"
Pb 2.4346 2.5013 2.4346
Ge 0.0000 2.5013 0.0000
Tc 0.0000 0.0000 2.4346
Tc 2.4346 0.0000 0.0000
Ta 0.0000 0.0000 0.0000

---

5
Lattice="-2.8085 2.9091 2.5988 -3.7969 -2.0068 -1.8569 -0.0398 -3.2235 3.5653" Properties=species:S:1:pos:R:3 comment="Ta2GePbW PBE-GGA optimized geometry" delta_e_f_mev_per_atom=1278 crystal_system=tetragonal volume_a3_per_atom=21.62 pbc="T T T"
Pb -3.3226 -1.1606 2.1536
Ge 0.0000 0.0000 0.0000
W -1.8984 -1.0034 -0.9284
Ta -0.0199 -1.6118 1.7827
Ta -1.4043 1.4545 1.2994

---

5
Lattice="-3.9349 2.1253 2.2796 -0.9577 -4.3880 2.4379 2.9713 1.4500 3.7770" Properties=species:S:1:pos:R:3 comment="TaGePbW2 PBE-GGA optimized geometry" delta_e_f_mev_per_atom=2957 crystal_system=tetragonal volume_a3_per_atom=25.75 pbc="T T T"
Pb 0.0000 0.0000 0.0000
Ge -0.9606 -0.4064 4.2472
W 1.4856 0.7250 1.8885
W -1.9674 1.0626 1.1398
Ta -0.4788 -2.1940 1.2190

---

4
Lattice="3.4309 0.0000 0.0000 0.0000 3.4309 0.0000 0.0000 0.0000 8.6784" Properties=species:S:1:pos:R:3 comment="Tb2GePb PBE-GGA optimized geometry" delta_e_f_mev_per_atom=-558 crystal_system=tetragonal volume_a3_per_atom=25.54 pbc="T T T"
Pb 1.7154 1.7154 4.3392
Ge 1.7154 1.7154 0.0000
Tb 0.0000 0.0000 6.7647
Tb 0.0000 0.0000 1.9137

---

4
Lattice="-1.0857 3.2919 -2.1498 -3.0535 2.3701 1.3020 3.8461 6.3315 3.8833" Properties=species:S:1:pos:R:3 comment="Tb2GePb PBE-GGA optimized geometry" delta_e_f_mev_per_atom=-576 crystal_system=trigonal volume_a3_per_atom=28.91 pbc="T T T"
Pb -0.1466 5.9968 1.5177
Ge 0.0000 0.0000 0.0000
Tb 0.0152 9.1951 2.4640
Tb -0.3084 2.7985 0.5715

---

10
Lattice="-0.3896 4.5756 -0.2456 -0.5171 0.3269 6.9056 9.0534 0.8053 0.6398" Properties=species:S:1:pos:R:3 comment="Tb3GePb PBE-GGA optimized geometry" delta_e_f_mev_per_atom=-596 crystal_system=orthorhombic volume_a3_per_atom=29.05 pbc="T T T"
Tb 0.0217 3.7393 5.0445
Tb 8.1251 1.9685 2.2552
Tb 5.2455 4.2949 7.1082
Tb 5.4980 4.1354 3.7370
Tb 2.9012 1.4128 0.1915
Tb 2.6488 1.5724 3.5627
Ge 2.9428 3.9991 5.2510
Ge 5.2039 1.7086 2.0488
Pb 0.8914 3.6302 1.6349
Pb 7.2553 2.0775 5.6648

---

6
Lattice="-3.5655 -3.7908 -2.3364 -1.3079 -4.7915 2.8059 -5.2327 -0.7023 2.1606" Properties=species:S:1:pos:R:3 comment="TbGe4Pb PBE-GGA optimized geometry" delta_e_f_mev_per_atom=-118 crystal_system=cubic volume_a3_per_atom=21.88 pbc="T T T"
Pb -2.5265 -2.3211 0.6575
Ge -3.7003 -5.4515 0.5637
Ge -5.6622 -3.4074 0.2411
Ge -6.3160 -5.8026 1.6437
Ge -4.5336 -3.9077 2.8117
Tb 0.0000 0.0000 0.0000

---

24
Lattice="-0.9576 -0.4849 -4.2586 10.6712 -5.2654 -1.8002 -5.2139 -11.4118 2.4717" Properties=species:S:1:pos:R:3 comment="Tb3GePb2 PBE-GGA optimized geometry" delta_e_f_mev_per_atom=-507 crystal_system=orthorhombic volume_a3_per_atom=28.16 pbc="T T T"
Tb 3.5422 -2.7715 -1.6133
Tb 0.9576 -14.3905 -1.9738
Tb 6.3769 -10.0723 -3.6841
Tb -1.8772 -7.0897 0.0970
Tb 6.1362 -6.7849 -1.7397
Tb -1.6365 -10.3772 -1.8474
Tb 0.3379 -4.3592 -2.9766
Tb 4.1618 -12.8028 -0.6105
Tb 2.6044 -6.9292 -0.9290
Tb 1.8953 -10.2329 -2.6580
Tb 8.8844 -6.6893 -4.6331
Tb -4.3847 -10.4728 1.0461
Ge 0.4915 -2.1795 -0.9947
Ge 4.0083 -14.9826 -2.5924
Ge 4.0072 -7.9899 -3.3883
Ge 0.4925 -9.1722 -0.1988
Pb 4.6643 -9.8080 -1.0645
Pb -0.1646 -7.3540 -2.5226
Pb -3.5520 -12.6749 -1.1551
Pb 8.0517 -4.4872 -2.4320
Pb -1.8631 -3.6978 -0.2923
Pb 6.3628 -13.4643 -3.2947
Pb 3.6511 -5.1341 -3.6334
Pb 0.8487 -12.0280 0.0463